Computed, not measured: a geometry-optimized Ag2BCl6 structure at the GGA-PBE level of DFT.

Cell lengths 14.545, 11.930, 7.965 Å; angles 90.00, 122.63, 90.00 degrees
Space group C2/c (No. 15)
Asymmetric unit:
Ag (0.245, 0.048, 0.013)
B (0.000, 0.255, 0.750)
Cl (0.085, 0.165, 0.694)
Cl (0.085, 0.344, 0.974)
Cl (0.244, 0.100, 0.304)

total moment	0.00	μB/cell
E_form (uncorrected)	-0.574	eV/atom
VASP energy	-3.181	eV/atom